No. 1
A geometry-optimized TaMnRuAu structure, computed with PBE. Values from VASP.

Properties
The value obtained for the total energy is -8.3746 eV per atom. For the density of states at the Fermi level, the calculation gives 3.35 states/eV/cell. The value obtained for the calculated formation energy is 0.077 eV per formula unit.

```
&SYSTEM
  ibrav = 0, nat = 16, ntyp = 4
/
ATOMIC_SPECIES
Ta 180.95 Ta.upf
Mn 54.94 Mn.upf
Ru 101.07 Ru.upf
Au 196.97 Au.upf
CELL_PARAMETERS angstrom
6.3020 0.0000 0.0000
0.0000 6.3020 0.0000
0.0000 0.0000 6.3020
ATOMIC_POSITIONS angstrom
Ta 0.0000 0.0000 0.0000
Ta 0.0000 3.1510 3.1510
Ta 3.1510 0.0000 3.1510
Ta 3.1510 3.1510 0.0000
Mn 1.5755 1.5755 4.7265
Mn 1.5755 4.7265 1.5755
Mn 4.7265 1.5755 1.5755
Mn 4.7265 4.7265 4.7265
Ru 1.5755 1.5755 1.5755
Ru 1.5755 4.7265 4.7265
Ru 4.7265 1.5755 4.7265
Ru 4.7265 4.7265 1.5755
Au 0.0000 0.0000 3.1510
Au 0.0000 3.1510 0.0000
Au 3.1510 0.0000 0.0000
Au 3.1510 3.1510 3.1510
```

No. 2
A geometry-optimized Cs3Cd4 structure, computed with PBE. Values from VASP.

Properties
The value obtained for the total energy is -0.9303 eV per atom. For the density of states at the Fermi level, the calculation gives 10.90 states/eV/cell. The value obtained for the calculated formation energy is -0.291 eV per formula unit.

```
&SYSTEM
  ibrav = 0, nat = 14, ntyp = 2
/
ATOMIC_SPECIES
Cs 132.91 Cs.upf
Cd 112.41 Cd.upf
CELL_PARAMETERS angstrom
5.3488 0.0000 0.0000
0.0000 5.6123 0.0000
0.0000 0.0000 23.0638
ATOMIC_POSITIONS angstrom
Cs 0.0000 0.0000 0.0000
Cs 0.0000 2.8061 7.2252
Cs 0.0000 2.8061 15.8386
Cs 2.6744 0.0000 4.3067
Cs 2.6744 0.0000 18.7571
Cs 2.6744 2.8061 11.5319
Cd 0.0000 0.0000 10.0107
Cd 0.0000 0.0000 13.0531
Cd 0.0000 2.8061 2.9428
Cd 0.0000 2.8061 20.1210
Cd 2.6744 0.0000 8.5891
Cd 2.6744 0.0000 14.4747
Cd 2.6744 2.8061 1.5212
Cd 2.6744 2.8061 21.5426
```

No. 3
A geometry-optimized Rb6I2BrCl3 structure, computed with PBE. Values from VASP.

Properties
The value obtained for the total energy is -3.0928 eV per atom. Its formation energy (no corrections) is -1.750 eV/atom. For the density of states at the Fermi level, the calculation gives 0.00 states/eV/cell.

```
&SYSTEM
  ibrav = 0, nat = 12, ntyp = 4
/
ATOMIC_SPECIES
Rb 85.47 Rb.upf
I 126.90 I.upf
Br 79.90 Br.upf
Cl 35.45 Cl.upf
CELL_PARAMETERS angstrom
10.8428 -2.4589 0.0000
10.8428 2.4589 0.0000
-2.3621 0.0000 9.7225
ATOMIC_POSITIONS angstrom
Rb -0.4705 0.0000 2.4071
Rb 6.1664 0.0000 4.2320
Rb 5.2599 0.0000 8.7496
Rb 14.0636 0.0000 0.9729
Rb 13.1571 0.0000 5.4905
Rb 19.7940 0.0000 7.3155
I 1.6551 0.0000 8.0973
I 17.6685 0.0000 1.6252
Br 9.6618 0.0000 4.8613
Cl 2.8115 0.0000 3.2607
Cl 10.8428 0.0000 0.0000
Cl 16.5120 0.0000 6.4618
```

No. 4
A geometry-optimized LaInSb2 structure, computed with PBE. Values from VASP.

Properties
The value obtained for the total energy is -4.5846 eV per atom. Its formation energy (no corrections) is -0.607 eV/atom. For the density of states at the Fermi level, the calculation gives 5.01 states/eV/cell.

```
&SYSTEM
  ibrav = 0, nat = 8, ntyp = 3
/
ATOMIC_SPECIES
La 138.91 La.upf
In 114.82 In.upf
Sb 121.76 Sb.upf
CELL_PARAMETERS angstrom
4.5195 0.0000 0.0000
0.0000 4.5195 0.0000
0.0000 0.0000 11.5671
ATOMIC_POSITIONS angstrom
La 1.1299 1.1299 2.5351
La 3.3896 3.3896 9.0321
In 1.1299 3.3896 5.7836
In 3.3896 1.1299 5.7836
Sb 1.1299 1.1299 8.3843
Sb 1.1299 3.3896 0.0000
Sb 3.3896 1.1299 0.0000
Sb 3.3896 3.3896 3.1829
```

- Number 2 is which compound?
  Cs3Cd4